Computed, not measured: a geometry-optimized Ho3Al2Ni9 structure at the PBE-GGA level of DFT.

Cell: 7.7421 7.7421 7.7421 Å, 150.35 112.05 75.85°
With the nearest neighbours (Å) after each atom.
Positions (direct):
Ho (0.0000, 0.0000, 0.0000)  4 Ni 2.82
Ho (0.2979, 0.2979, 0.0000)  10 Ni 2.79-3.06, 2 Al 3.05
Ho (0.7021, 0.7021, 0.0000)  10 Ni 2.79-3.06, 2 Al 3.05
Al (0.2924, 0.5000, 0.7924)  8 Ni 2.46-2.67
Al (0.7076, 0.5000, 0.2076)  8 Ni 2.46-2.67
Ni (0.0283, 0.6768, 0.3515)  4 Ni 2.39-2.57, 1 Al 2.49
Ni (0.1597, 0.8810, 0.2787)  4 Ni 2.39-2.57, 2 Al 2.46
Ni (0.3254, 0.6768, 0.6485)  4 Ni 2.39-2.57, 1 Al 2.49
Ni (0.3977, 0.1190, 0.2787)  4 Ni 2.39-2.57, 2 Al 2.46
Ni (0.5000, 0.0000, 0.5000)  4 Ni 2.40, 4 Al 2.67
Ni (0.6023, 0.8810, 0.7213)  4 Ni 2.39-2.57, 2 Al 2.46
Ni (0.6746, 0.3232, 0.3515)  4 Ni 2.39-2.57, 1 Al 2.49
Ni (0.8403, 0.1190, 0.7213)  4 Ni 2.39-2.57, 2 Al 2.46
Ni (0.9717, 0.3232, 0.6485)  4 Ni 2.39-2.57, 1 Al 2.49

Properties
**VASP energy**: -79.13 eV for the cell shown